Computed, not measured: crystalline Ca2TlFe at its relaxed geometry at the GGA-PBEsol level of DFT.

a b c (Å): 4.5168 6.0505 6.0505
angles (deg): 39.79 90.00 90.00
Last column: nearest neighbours and their distance in Å.
Atoms (fractional coordinates):
Ca: 0.0000 0.0000 0.0000  3 Fe 3.13-3.33, 4 Tl 3.21
Ca: 0.5000 0.2965 0.2965  3 Tl 3.16-3.29, 4 Fe 3.22
Tl: 0.5000 0.5860 0.5860  2 Fe 2.65
Fe: 0.0000 0.7070 0.7070  2 Tl 2.65

As for the spin magnetization: 2.1 μB per formula unit. Its space-group type is No. 38. The energy relative to the elements comes out at 0.63 eV per formula unit. The raw total energy is -3.8072 eV/atom.